Arrangement a

This record from OQMD via LeMat-Bulk describes an optimized crystal structure of MgTaB. The functional is PBE.

Cell: 3.930 3.930 3.930 Å, 60.00 60.00 60.00°
Positions (direct):
Mg (0.000, 0.000, 0.000)
Ta (0.500, 0.500, 0.500)
B (0.250, 0.250, 0.250)

Arrangement b

This record from OQMD via LeMat-Bulk describes an optimized crystal structure of MgTaB. The functional is PBE.

Cell: 4.125 4.125 4.125 Å, 60.00 60.00 60.00°
Positions (direct):
Mg (0.000, 0.000, 0.000)
Ta (0.750, 0.750, 0.750)
B (0.500, 0.500, 0.500)

Name the most stable of them. arrangement a.